Record 1
# SmCdGaAg

SmCdGaAg after structural relaxation (GGA-PBE, the Alexandria database).

Structure (POSCAR):
```
SmCdGaAg
1.0
4.964 0.000 0.000
2.482 4.299 0.000
2.482 1.433 4.053
Cd Sm Ga Ag
1 1 1 1
Direct
0.750 0.750 0.750
0.250 0.250 0.250
0.500 0.500 0.500
0.000 0.000 0.000
```

Computed properties:
E_tot: -12.941 eV per cell
calculated formation energy: -357 meV per atom

Record 2
# ReSi2Ni

ReSi2Ni after structural relaxation (GGA-PBE, the Alexandria database).

Structure (POSCAR):
```
ReSi2Ni
1.0
4.458 0.000 0.000
0.000 2.743 -0.005
0.000 0.007 4.204
Re Si Ni
1 2 1
Direct
0.500 0.875 0.734
0.000 0.875 0.023
0.500 0.375 0.238
0.000 0.375 0.504
```

Computed properties:
E_tot: -30.010 eV per cell
ΔE_f (raw): -0.234 eV per atom

Record 3
# Th2InPd9

Th2InPd9 after structural relaxation (GGA-PBE, the Alexandria database).

Structure (POSCAR):
```
Th2InPd9
1.0
4.177 0.000 0.000
0.000 4.177 0.000
0.000 0.000 12.380
Pd Th In
9 2 1
Direct
0.500 0.500 0.670
0.000 0.500 0.839
0.500 0.500 0.330
0.000 0.500 0.500
0.500 0.000 0.161
0.500 0.000 0.839
0.000 0.500 0.161
0.500 0.500 0.000
0.500 0.000 0.500
0.000 0.000 0.674
0.000 0.000 0.326
0.000 0.000 0.000
```

Computed properties:
E above lowest polymorph: 0.0000 eV/atom
E_tot: -74.039 eV per cell
calculated formation energy: -810 meV per atom

Record 4
# In2Ga3Pb

In2Ga3Pb after structural relaxation (GGA-PBE, the Alexandria database).

Structure (POSCAR):
```
In2Ga3Pb
1.0
7.220 0.000 2.985
3.469 6.435 1.834
1.147 -0.124 7.448
Ga In Pb
6 4 2
Direct
0.500 0.217 0.783
0.000 0.283 0.717
0.500 0.000 0.500
0.500 0.500 0.000
0.000 0.717 0.283
0.500 0.783 0.217
0.246 0.950 0.950
0.754 0.050 0.050
0.647 0.550 0.550
0.353 0.450 0.450
0.836 0.750 0.750
0.164 0.250 0.250
```

Computed properties:
E_tot: -35.021 eV per cell
calculated formation energy: 126 meV per atom

Record 5
# AgGe2H2

AgGe2H2 after structural relaxation (GGA-PBE, the Alexandria database).

Structure (POSCAR):
```
AgGe2H2
1.0
-5.676 3.008 2.647
0.766 -3.691 5.836
1.816 2.337 1.239
Ge H Ag
4 4 2
Direct
0.669 0.831 0.000
0.331 0.169 0.000
0.169 0.669 0.000
0.831 0.331 0.000
0.905 0.405 0.500
0.405 0.095 0.500
0.595 0.905 0.500
0.095 0.595 0.500
0.500 0.500 0.000
0.000 0.000 0.000
```

Computed properties:
E above lowest polymorph: 0.0000 eV/atom
E_tot: -33.345 eV per cell

Record 6
# MoAs2Pd

MoAs2Pd after structural relaxation (GGA-PBE, the Alexandria database).

Structure (POSCAR):
```
MoAs2Pd
1.0
-1.486 -2.547 -1.131
1.535 -2.017 -1.884
2.313 -5.661 5.297
As Mo Pd
2 1 1
Direct
0.075 0.075 0.774
0.253 0.253 0.241
0.664 0.664 0.009
0.508 0.508 0.476
```

Computed properties:
E_tot: -25.686 eV per cell
calculated formation energy: -91 meV per atom

Record 7
# Zr3Br

Zr3Br after structural relaxation (GGA-PBE, the Alexandria database).

Structure (POSCAR):
```
Zr3Br
1.0
9.709 -0.005 -0.003
9.136 3.286 -0.003
9.136 1.590 2.875
Zr Br
3 1
Direct
0.253 0.253 0.253
0.747 0.747 0.747
0.500 0.500 0.500
0.000 0.000 0.000
```

Computed properties:
E above lowest polymorph: 0.0504 eV/atom
E_tot: -28.123 eV per cell
ΔE_f (raw): -0.201 eV per atom

Record 8
# BeSiSn

BeSiSn after structural relaxation (GGA-PBE, the Alexandria database).

Structure (POSCAR):
```
BeSiSn
1.0
9.239 0.000 0.282
0.000 3.804 0.000
-0.240 0.000 6.625
Be Si Sn
4 4 4
Direct
0.067 0.500 0.830
0.067 0.000 0.330
0.933 0.000 0.670
0.933 0.500 0.170
0.828 0.000 0.336
0.172 0.500 0.164
0.828 0.500 0.836
0.172 0.000 0.664
0.350 0.500 0.833
0.350 0.000 0.333
0.650 0.500 0.167
0.650 0.000 0.667
```

Computed properties:
E above lowest polymorph: 0.0000 eV/atom
E_tot: -49.835 eV per cell
ΔE_f (raw): 0.231 eV per atom

Record 9
# Na2HfI

Na2HfI after structural relaxation (GGA-PBE, the Alexandria database).

Structure (POSCAR):
```
Na2HfI
1.0
0.000 4.028 4.028
4.028 0.000 4.028
4.028 4.028 0.000
Hf Na I
1 2 1
Direct
0.500 0.500 0.500
0.750 0.750 0.750
0.250 0.250 0.250
0.000 0.000 0.000
```

Computed properties:
E above lowest polymorph: 0.2059 eV/atom
E_tot: -11.267 eV per cell
ΔE_f (raw): 0.719 eV per atom

Record 10
# K2MgGa4Ge3

K2MgGa4Ge3 after structural relaxation (GGA-PBE, the Alexandria database).

Structure (POSCAR):
```
K2MgGa4Ge3
1.0
-2.305 -3.718 -1.480
2.096 0.332 -4.101
8.107 -6.467 3.620
K Ge Ga Mg
2 3 4 1
Direct
0.500 0.000 0.241
0.000 0.500 0.759
0.000 0.000 0.500
0.500 0.000 0.875
0.000 0.500 0.125
0.500 0.500 0.000
0.000 0.000 0.000
0.500 0.000 0.639
0.000 0.500 0.361
0.500 0.500 0.500
```

Computed properties:
E_tot: -30.922 eV per cell
calculated formation energy: -117 meV per atom

Record 11
# CaHgAs2Se

CaHgAs2Se after structural relaxation (GGA-PBE, the Alexandria database).

Structure (POSCAR):
```
CaHgAs2Se
1.0
-1.780 -4.427 -1.954
4.837 -1.687 -0.586
-0.143 -2.150 5.003
Ca As Se Hg
1 2 1 1
Direct
0.500 0.500 0.500
0.500 0.000 0.000
0.000 0.500 0.000
0.000 0.000 0.500
0.000 0.000 0.000
```

Computed properties:
E above lowest polymorph: 0.0000 eV/atom
E_tot: -14.012 eV per cell
ΔE_f (raw): 0.215 eV per atom

Record 12
# AcPmPr2Dy5

AcPmPr2Dy5 after structural relaxation (GGA-PBE, the Alexandria database).

Structure (POSCAR):
```
AcPmPr2Dy5
1.0
-4.463 -1.005 -7.575
7.360 -2.927 -3.948
-3.290 -5.459 7.832
Pm Ac Dy Pr
2 2 10 4
Direct
0.250 0.750 0.500
0.750 0.250 0.500
0.750 0.750 0.500
0.250 0.250 0.500
0.659 0.159 0.732
0.159 0.073 0.732
0.573 0.659 0.732
0.341 0.841 0.268
0.500 0.500 0.000
0.841 0.927 0.268
0.073 0.573 0.732
0.927 0.427 0.268
0.000 0.000 0.000
0.427 0.341 0.268
0.882 0.618 0.000
0.118 0.382 0.000
0.382 0.882 0.000
0.618 0.118 0.000
```

Computed properties:
E_tot: -78.467 eV per cell
calculated formation energy: 244 meV per atom